Entry from Alexandria via LeMat-Bulk: a geometry-optimized KNi3Se4O12 structure (PBE with a Hubbard U).

Computed properties:
* SG: No. 155
* E_tot: -4.69 eV/atom
* Fermi-level density of states: 7.83 states/eV/cell
* spin magnetization: 1.840 Bohr magnetons per cell

Unit cell a=6.9795 b=6.9795 c=6.9795 alpha=107.09 beta=107.09 gamma=107.09
Atoms (fractional coordinates):
K  0.0000  0.0000  0.0000
Ni  0.0000  0.5659  0.4341
Ni  0.4341  0.0000  0.5659
Ni  0.5659  0.4341  0.0000
Se  0.0594  0.5000  0.9406
Se  0.5000  0.5000  0.5000
Se  0.5000  0.9406  0.0594
Se  0.9406  0.0594  0.5000
O  0.0605  0.6342  0.7641
O  0.1069  0.8931  0.5000
O  0.2359  0.3658  0.9395
O  0.3354  0.6646  0.5000
O  0.3658  0.9395  0.2359
O  0.5000  0.1069  0.8931
O  0.5000  0.3354  0.6646
O  0.6342  0.7641  0.0605
O  0.6646  0.5000  0.3354
O  0.7641  0.0605  0.6342
O  0.8931  0.5000  0.1069
O  0.9395  0.2359  0.3658